5
Lattice="6.441 0.000 0.000 0.000 6.441 0.000 0.000 0.000 2.558" Properties=species:S:1:pos:R:3 comment="TlCSe2N GGA-PBE relaxed" vol_a3_per_cell=106.1 e_form_raw_kj_per_mol_fu=300 sg="P4/mmm (123)" pbc="T T T"
Se 0.000 3.220 0.000
Tl 3.220 3.220 1.279
N 0.000 0.000 1.279
Se 3.220 0.000 0.000
C 0.000 0.000 0.000